The following is a PBE-GGA calculation of an optimized crystal structure of TaB2Au, from Alexandria via LeMat-Bulk.

Values from the calculation:
Distance to the lowest polymorph of the same formula in meV/atom: 0
Magnetization in μB/cell: 0.00
Energy of formation in meV per atom: 770

Cell lengths 5.7746, 5.7746, 5.7746 Å; angles 90.00, 90.00, 90.00 degrees
Space group Fm-3m (No. 225)
Symmetry-distinct sites (fractional):
1 Ta 0.0000 0.0000 0.0000
2 B 0.2500 0.2500 0.2500
3 Au 0.0000 0.0000 0.5000